VASP calculation (PBE-GGA) on Pr2Si2Rh5 after structural relaxation.

Cell lengths 4.1956, 4.1956, 9.0300 Å; angles 90.00, 90.00, 90.00 degrees
Positions (direct):
Pr 0.0000 0.0000 0.0000
Pr 0.0000 0.0000 0.5000
Si 0.5000 0.5000 0.1443
Si 0.5000 0.5000 0.8557
Rh 0.5000 0.0000 0.2624
Rh 0.5000 0.0000 0.7376
Rh 0.0000 0.5000 0.2624
Rh 0.0000 0.5000 0.7376
Rh 0.5000 0.5000 0.5000

Spin magnetization ... 0.000 μB per cell
Raw formation energy ... -7.2 eV/f.u.
SG ... No. 123